[1]
Zn2Ni2Pd | the Alexandria database | meta-GGA SCAN | PBEsol geometry; space group = No. 139; Fermi-level density of states = 0.673 states/eV per atom
1.0
-2.5057 -2.1305 0.2962
1.3873 -1.2532 2.7222
-2.4384 5.6853 1.8568
Zn Pd Ni
2 1 2
direct
0.3972 0.3972 0.7944
0.6028 0.6028 0.2056
0.0000 0.0000 0.0000
0.7500 0.2500 0.5000
0.2500 0.7500 0.5000

[2]
Cd2GeAs4 | the Alexandria database | meta-GGA SCAN | PBEsol geometry; space group = No. 62
1.0
-1.3298 4.7661 5.1756
-2.6359 -5.4193 4.3132
11.6046 -1.8877 4.7200
Cd As Ge
8 16 4
direct
0.5903 0.9682 0.8702
0.5903 0.5318 0.8702
0.9097 0.4682 0.3702
0.4097 0.0318 0.1298
0.0903 0.5318 0.6298
0.4097 0.4682 0.1298
0.9097 0.0318 0.3702
0.0903 0.9682 0.6298
0.9539 0.5162 0.8249
0.9109 0.2500 0.5430
0.0461 0.4838 0.1751
0.1203 0.7500 0.9241
0.0461 0.0162 0.1751
0.4539 0.9838 0.6751
0.9539 0.9838 0.8249
0.3797 0.2500 0.4241
0.8797 0.2500 0.0759
0.5891 0.7500 0.0430
0.5461 0.0162 0.3249
0.6203 0.7500 0.5759
0.4109 0.2500 0.9570
0.0891 0.7500 0.4570
0.5461 0.4838 0.3249
0.4539 0.5162 0.6751
0.0787 0.2500 0.9164
0.9213 0.7500 0.0836
0.5787 0.2500 0.5836
0.4213 0.7500 0.4164

[3]
K2AsRuS | the Alexandria database | meta-GGA SCAN | PBEsol geometry; space group = No. 123; Fermi-level density of states = 1.417 states/eV per atom
1.0
-0.9559 -1.7398 4.1949
1.2723 -5.7836 -2.1087
6.0184 0.7157 1.6682
K S As Ru
2 1 1 1
direct
0.0000 0.5000 0.0000
0.0000 0.0000 0.5000
0.5000 0.0000 0.0000
0.0000 0.0000 0.0000
0.5000 0.5000 0.5000

[4]
LaSb2Au | the Alexandria database | meta-GGA SCAN | PBEsol geometry; space group = No. 12; Fermi-level density of states = 0.540 states/eV per atom
1.0
-1.4329 -2.6461 -3.2577
3.8054 -2.3778 0.7243
-3.7810 -0.5383 4.8856
Sb La Au
2 1 1
direct
0.5000 0.5000 0.5000
0.0000 0.0000 0.5000
0.0000 0.5000 0.0000
0.5000 0.0000 0.0000

DFT total energy, respectively: -92.24 -161.51 -77.19 -189.13 eV per formula unit.